Record 1
Density functional theory data (GGA-PBE) for Ca3TlBi after structural relaxation.

Values from the calculation:
The space group is P2_1/c (14). As for the magnetization: 0.0 Bohr magnetons per cell. Its uncorrected energy is -59.77 eV for the cell shown. The volume comes out at 33.1 Å³ per atom. As for the density of states at the Fermi level: 10.80 states/eV per cell. The density is 5.4 Mg/m³. As for the energy relative to the elements: -2.69 eV per formula unit.

Lattice parameters (Å, degrees): 9.604 8.549 8.961 90.00 116.00 90.00
Fractional coordinates of all 20 atoms:
1 Ca 0.018 0.011 0.308
2 Ca 0.018 0.489 0.808
3 Ca 0.270 0.131 0.093
4 Ca 0.270 0.369 0.593
5 Ca 0.403 0.715 0.957
6 Ca 0.403 0.785 0.457
7 Ca 0.597 0.215 0.543
8 Ca 0.597 0.285 0.043
9 Ca 0.730 0.631 0.407
10 Ca 0.730 0.869 0.907
11 Ca 0.982 0.511 0.192
12 Ca 0.982 0.989 0.692
13 Tl 0.366 0.024 0.724
14 Tl 0.366 0.476 0.224
15 Tl 0.634 0.524 0.776
16 Tl 0.634 0.976 0.276
17 Bi 0.115 0.705 0.561
18 Bi 0.115 0.795 0.061
19 Bi 0.885 0.205 0.939
20 Bi 0.885 0.295 0.439


Record 2
Density functional theory data (GGA-PBE) for MnSiOs2 after structural relaxation.

Values from the calculation:
The space group is I-42d (122). As for the magnetization: 0.0 Bohr magnetons per cell. Its uncorrected energy is -66.79 eV for the cell shown. The volume comes out at 18.8 Å³ per atom. As for the density of states at the Fermi level: 8.68 states/eV per cell. Its uncorrected formation energy is 3.66 eV/f.u. The density is 10.2 Mg/m³.

Lattice parameters (Å, degrees): 6.426 6.426 6.426 130.36 130.36 72.83
Fractional coordinates of all 8 atoms:
1 Mn 0.000 0.000 0.000
2 Mn 0.750 0.250 0.500
3 Si 0.250 0.750 0.500
4 Si 0.500 0.500 0.000
5 Os 0.111 0.625 0.986
6 Os 0.375 0.361 0.486
7 Os 0.639 0.125 0.014
8 Os 0.875 0.889 0.514


Record 3
Density functional theory data (GGA-PBE) for TlFeAs after structural relaxation.

Values from the calculation:
The space group is Pmn2_1 (31). As for the magnetization: 0.1 Bohr magnetons per cell. Its uncorrected energy is -30.23 eV for the cell shown. The volume comes out at 20.3 Å³ per atom. As for the density of states at the Fermi level: 2.00 states/eV per cell. The density is 9.1 Mg/m³. As for the energy relative to the elements: 0.36 eV per formula unit.

Lattice parameters (Å, degrees): 3.194 6.016 6.337 90.00 90.00 90.00
Fractional coordinates of all 6 atoms:
1 Tl 0.000 0.032 0.000
2 Tl 0.500 0.968 0.500
3 Fe 0.000 0.688 0.732
4 Fe 0.500 0.312 0.232
5 As 0.000 0.466 0.440
6 As 0.500 0.534 0.940